4
Lattice="2.722 0.000 0.000 0.000 4.644 0.022 0.000 3.106 4.256" Properties=species:S:1:pos:R:3 comment="PBE MnNiIr2, relaxed" vol_a3_per_cell=53.6 total_magnetization_mub_per_fu=3.708 delta_e_f_kj_per_mol_atoms=-9.0 pbc="T T T"
Ir 1.361 2.322 0.011
Ir 0.000 0.000 0.000
Mn 1.361 3.875 2.139
Ni 0.000 1.553 2.128

4
Lattice="4.990 0.000 0.000 2.495 4.322 0.000 2.495 1.441 4.075" Properties=species:S:1:pos:R:3 comment="PBE TbPrNiPt, relaxed" vol_a3_per_cell=87.9 total_magnetization_mub_per_fu=0.000 delta_e_f_kj_per_mol_atoms=-65.2 pbc="T T T"
Pt 4.990 2.881 2.037
Tb 2.495 1.441 1.019
Ni 0.000 0.000 0.000
Pr 7.485 4.322 3.056

4
Lattice="-4.282 1.560 -2.666 -0.500 -1.189 -5.120 -3.586 -3.553 -1.547" Properties=species:S:1:pos:R:3 comment="PBE ErLuCdPb, relaxed" vol_a3_per_cell=104.1 total_magnetization_mub_per_fu=0.002 delta_e_f_kj_per_mol_atoms=-30.3 pbc="T T T"
Cd -6.275 -2.386 -7.000
Pb -2.092 -0.795 -2.333
Lu 0.000 0.000 0.000
Er -4.184 -1.591 -4.667

6
Lattice="-5.792 -3.539 -2.674 -4.660 -3.314 4.529 -6.701 2.716 0.968" Properties=species:S:1:pos:R:3 comment="PBE CaAc4Gd, relaxed" vol_a3_per_cell=274.5 total_magnetization_mub_per_fu=7.377 delta_e_f_kj_per_mol_atoms=26.7 pbc="T T T"
Ac -10.731 -2.588 1.766
Ac -7.821 -0.810 3.110
Ac -8.389 -0.923 -0.509
Ac -7.364 -3.953 1.280
Gd 0.000 0.000 0.000
Ca -4.288 -1.034 0.706

10
Lattice="6.962 0.000 0.000 0.000 6.962 0.000 0.000 0.000 3.734" Properties=species:S:1:pos:R:3 comment="PBE Nb2AlGa2, relaxed" vol_a3_per_cell=181.0 total_magnetization_mub_per_fu=0.000 delta_e_f_kj_per_mol_atoms=-5.2 pbc="T T T"
Ga 4.609 5.834 1.867
Ga 1.128 4.609 1.867
Ga 5.834 2.353 1.867
Ga 2.353 1.128 1.867
Nb 2.501 5.982 0.000
Nb 5.982 4.461 0.000
Nb 4.461 0.980 0.000
Nb 0.980 2.501 0.000
Al 3.481 3.481 0.000
Al 0.000 0.000 0.000

4
Lattice="5.648 0.006 -0.018 1.992 5.285 0.018 -3.810 -2.660 3.211" Properties=species:S:1:pos:R:3 comment="PBE Ca2CdW, relaxed" vol_a3_per_cell=95.8 total_magnetization_mub_per_fu=0.560 delta_e_f_kj_per_mol_atoms=72.8 pbc="T T T"
Ca 3.819 2.645 0.000
Ca 0.001 0.001 0.000
W 1.001 2.635 1.615
Cd 2.829 -0.005 1.596

16
Lattice="9.780 0.000 0.000 0.000 9.780 0.000 0.000 0.000 3.991" Properties=species:S:1:pos:R:3 comment="PBE InPt, relaxed" vol_a3_per_cell=381.7 total_magnetization_mub_per_fu=0.000 delta_e_f_kj_per_mol_atoms=-17.4 pbc="T T T"
In 1.530 6.363 0.000
In 6.420 1.473 1.996
In 8.306 6.420 1.996
In 3.360 8.306 1.996
In 3.416 1.530 0.000
In 8.249 3.416 0.000
In 6.363 8.249 0.000
In 1.473 3.360 1.996
Pt 0.621 1.814 0.000
Pt 7.966 0.621 0.000
Pt 9.159 7.966 0.000
Pt 4.269 3.076 1.996
Pt 6.704 4.269 1.996
Pt 3.076 5.510 1.996
Pt 5.510 6.704 1.996
Pt 1.814 9.159 0.000

6
Lattice="4.270 0.000 0.000 0.000 4.270 0.000 0.000 0.000 9.807" Properties=species:S:1:pos:R:3 comment="PBE SrMgAs, relaxed" vol_a3_per_cell=178.8 total_magnetization_mub_per_fu=0.000 delta_e_f_kj_per_mol_atoms=-70.7 pbc="T T T"
Mg 2.135 2.135 4.903
Mg 0.000 0.000 4.903
As 2.135 0.000 6.575
As 0.000 2.135 3.232
Sr 0.000 2.135 8.086
Sr 2.135 0.000 1.721

Question: Number 8 is which compound?
Answer: SrMgAs